{
  "formula": "Al3VZn",
  "functional": "GGA-PBE",
  "state": "relaxed",
  "lattice": [[7.5409, -0.9163, -0.7599], [-0.7635, 6.5794, -1.0309], [-0.7635, 0.2039, 6.6566]],
  "species": ["Zn", "Zn", "Zn", "Zn", "Al", "Al", "Al", "Al", "Al", "Al", "Al", "Al", "Al", "Al", "Al", "Al", "V", "V", "V", "V"],
  "fractional_positions": [[0.2500, 0.2222, 0.7778], [0.2500, 0.6547, 0.3453], [0.7500, 0.3453, 0.6547], [0.7500, 0.7778, 0.2222], [0.5564, 0.4715, 0.3173], [0.2082, 0.2820, 0.1475], [0.9436, 0.6827, 0.5285], [0.5811, 0.1592, 0.8897], [0.4436, 0.5285, 0.6827], [0.0564, 0.3173, 0.4715], [0.9189, 0.1103, 0.8408], [0.2918, 0.8525, 0.7180], [0.7918, 0.7180, 0.8525], [0.4189, 0.8408, 0.1103], [0.7082, 0.1475, 0.2820], [0.0811, 0.8897, 0.1592], [0.4005, 0.1236, 0.4665], [0.5995, 0.8764, 0.5335], [0.0995, 0.5335, 0.8764], [0.9005, 0.4665, 0.1236]],
  "spacegroup": "C2/c (15)",
  "delta_e_f_ev_per_atom": 0.019
}